Entry 1:
Density functional theory data (PBE) for a relaxed Rb2TiCdF6 crystal.

a b c (Å): 6.7936 6.7936 6.7936
angles (deg): 60.00 60.00 60.00
With the nearest neighbours (Å) after each atom.
Atoms (fractional coordinates):
Rb1 0.2500 0.2500 0.2500  12 F 3.43
Rb2 0.7500 0.7500 0.7500  12 F 3.43
Ti1 0.0000 0.0000 0.0000  6 F 1.90
Cd1 0.5000 0.5000 0.5000  6 F 2.91
F1 0.1973 0.1973 0.8027  1 Ti 1.90
F2 0.1973 0.8027 0.1973  1 Ti 1.90
F3 0.1973 0.8027 0.8027  1 Ti 1.90
F4 0.8027 0.1973 0.1973  1 Ti 1.90
F5 0.8027 0.1973 0.8027  1 Ti 1.90
F6 0.8027 0.8027 0.1973  1 Ti 1.90

calculated total energy: -49.84 eV for the cell shown
total magnetic moment: 0.000 μB/f.u.
energy relative to the elements, uncorrected: -269 kJ/mol of atoms



Entry 2:
Density functional theory data (PBE) for a relaxed LaPmEr3 crystal.

a b c (Å): 6.3118 5.7264 9.6359
angles (deg): 90.00 109.07 90.00
With the nearest neighbours (Å) after each atom.
Atoms (fractional coordinates):
La1 0.0699 0.2500 0.3005  10 Er 3.55-3.68, 2 Pm 3.63-3.68
La2 0.9301 0.7500 0.6995  10 Er 3.55-3.68, 2 Pm 3.63-3.68
Pm1 0.4649 0.2500 0.0989  8 Er 3.54-3.66, 2 Pm 3.55, 2 La 3.63-3.68
Pm2 0.5351 0.7500 0.9011  8 Er 3.54-3.66, 2 Pm 3.55, 2 La 3.63-3.68
Er1 0.1355 0.7500 0.1008  4 Pm 3.54-3.65, 3 La 3.55-3.66, 5 Er 3.57-3.66
Er2 0.2669 0.2500 0.6989  6 Er 3.56-3.66, 3 Pm 3.56-3.64, 3 La 3.57-3.63
Er3 0.3368 0.7500 0.4992  7 Er 3.52-3.66, 4 La 3.55-3.68, 1 Pm 3.66
Er4 0.6632 0.2500 0.5008  7 Er 3.52-3.66, 4 La 3.55-3.68, 1 Pm 3.66
Er5 0.7331 0.7500 0.3011  6 Er 3.56-3.66, 3 Pm 3.56-3.64, 3 La 3.57-3.63
Er6 0.8645 0.2500 0.8992  4 Pm 3.54-3.65, 3 La 3.55-3.66, 5 Er 3.57-3.66

ΔH_f (0 K): 0.024 eV per atom
calculated total energy: -46.49 eV for the cell shown
total magnetic moment: 0.000 μB/f.u.



Entry 3:
Density functional theory data (PBE) for a relaxed U3Pt crystal.

a b c (Å): 4.7913 4.7913 4.7913
angles (deg): 60.00 60.00 60.00
With the nearest neighbours (Å) after each atom.
Atoms (fractional coordinates):
U1 0.0000 0.0000 0.0000  8 U 2.93
U2 0.2500 0.2500 0.2500  4 Pt 2.93, 4 U 2.93
U3 0.7500 0.7500 0.7500  4 U 2.93, 4 Pt 2.93
Pt1 0.5000 0.5000 0.5000  8 U 2.93

ΔH_f (0 K): -0.234 eV per atom
calculated total energy: -40.84 eV for the cell shown
total magnetic moment: 0.000 μB/f.u.



Entry 4:
Density functional theory data (PBE) for a relaxed TlTePbO5 crystal.

a b c (Å): 6.7025 6.7025 7.7290
angles (deg): 102.87 102.87 110.89
With the nearest neighbours (Å) after each atom.
Atoms (fractional coordinates):
Tl1 0.0000 0.0000 0.0000  2 O 2.18
Tl2 0.0000 0.0000 0.5000  2 O 2.18
Te1 0.3251 0.6749 0.7500  4 O 1.86-1.90
Te2 0.6749 0.3251 0.2500  4 O 1.86-1.90
Pb1 0.2956 0.7044 0.2500  1 O 2.25
Pb2 0.7044 0.2956 0.7500  1 O 2.25
O1 0.0916 0.9084 0.2500  2 Tl 2.18, 1 Pb 2.25
O2 0.1083 0.6535 0.8746  1 Te 1.90
O3 0.2410 0.4087 0.5566  1 Te 1.86
O4 0.3465 0.8917 0.6254  1 Te 1.90
O5 0.4087 0.2410 0.0566  1 Te 1.86
O6 0.5913 0.7590 0.9434  1 Te 1.86
O7 0.6535 0.1083 0.3746  1 Te 1.90
O8 0.7590 0.5913 0.4434  1 Te 1.86
O9 0.8917 0.3465 0.1254  1 Te 1.90
O10 0.9084 0.0916 0.7500  2 Tl 2.18, 1 Pb 2.25

calculated total energy: -81.24 eV for the cell shown
total magnetic moment: 0.000 μB/f.u.
energy relative to the elements, uncorrected: -80 kJ/mol of atoms